1.
# ZnCrCd2Bi

A PBEsol-optimized structure of ZnCrCd2Bi (meta-GGA SCAN, Alexandria).

The space group is P4/mmm (No. 123) and the conventional cell measures 5.1091, 5.1091 and 4.7887 Å, with angles of 90.00, 90.00 and 90.00 degrees. The distinct sites, in fractional coordinates, are Zn at (0.0000, 0.0000, 0.0000), Cr at (0.0000, 0.0000, 0.5000), Cd at (0.0000, 0.5000, 0.5000) and Bi at (0.5000, 0.5000, 0.0000).

The value obtained for the density is 7.32 g/cm³. The value obtained for the total magnetization is 0.840 μB per atom. As for the volume: 25.0 Å³/atom. The formation energy comes out at 0.628 eV per atom.

2.
# Cs2CdBi2S5

A PBEsol-optimized structure of Cs2CdBi2S5 (meta-GGA SCAN, Alexandria).

The space group is Pnma (No. 62) and the conventional cell measures 15.7686, 4.1547 and 18.3058 Å, with angles of 90.00, 90.00 and 90.00 degrees. The distinct sites, in fractional coordinates, are Cs at (0.0052, 0.2500, 0.1265), Cs at (0.0342, 0.7500, 0.3877), Cd at (0.2101, 0.2500, 0.8552), Bi at (0.2100, 0.7500, 0.6964), Bi at (0.2455, 0.7500, 0.0169), S at (0.1051, 0.2500, 0.7493), S at (0.1352, 0.2500, 0.9770), S at (0.1382, 0.7500, 0.5612), S at (0.1803, 0.7500, 0.1483) and S at (0.1997, 0.2500, 0.3412).

The value obtained for the density is 5.30 g/cm³. The value obtained for the energy relative to the elements, uncorrected is -0.83 eV/atom. The value obtained for the total magnetization is 0.000 μB per atom. As for the volume: 30.0 Å³/atom.

3.
# CdBiF2

A PBEsol-optimized structure of CdBiF2 (meta-GGA SCAN, Alexandria).

The space group is R-3m (No. 166, hexagonal axes) and the conventional cell measures 3.1671, 3.1671 and 25.4717 Å, with angles of 90.00, 90.00 and 120.00 degrees. The distinct sites, in fractional coordinates, are Cd at (0.0000, 0.0000, 0.0000), Bi at (0.0000, 0.0000, 0.5000) and F at (0.0000, 0.0000, 0.0946).

The value obtained for the density is 8.09 g/cm³. The value obtained for the energy relative to the elements, uncorrected is -1.28 eV/atom. The value obtained for the total magnetization is 0.000 μB per atom. As for the volume: 18.4 Å³/atom.

4.
# CdBi3F

A PBEsol-optimized structure of CdBi3F (meta-GGA SCAN, Alexandria).

The space group is Pm-3m (No. 221) and the conventional cell measures 5.5480, 5.5480 and 5.5480 Å, with angles of 90.00, 90.00 and 90.00 degrees. The distinct sites, in fractional coordinates, are Cd at (0.0000, 0.0000, 0.0000), Bi at (0.0000, 0.0000, 0.5000) and F at (0.5000, 0.5000, 0.5000).

The value obtained for the density is 7.37 g/cm³. The value obtained for the energy relative to the elements, uncorrected is 0.45 eV/atom. The value obtained for the total magnetization is 0.000 μB per atom. As for the volume: 34.2 Å³/atom.

5.
# Cd2BiRuF

A PBEsol-optimized structure of Cd2BiRuF (meta-GGA SCAN, Alexandria).

The space group is P4/mmm (No. 123) and the conventional cell measures 5.6257, 5.6257 and 5.1403 Å, with angles of 90.00, 90.00 and 90.00 degrees. The distinct sites, in fractional coordinates, are Cd at (0.0000, 0.5000, 0.0000), Bi at (0.0000, 0.0000, 0.0000), Ru at (0.0000, 0.0000, 0.5000) and F at (0.5000, 0.5000, 0.5000).

The value obtained for the density is 5.65 g/cm³. The value obtained for the energy relative to the elements, uncorrected is 0.69 eV/atom. The value obtained for the total magnetization is 0.462 μB per atom. As for the volume: 32.5 Å³/atom.

6.
# ZnCd2BiF

A PBEsol-optimized structure of ZnCd2BiF (meta-GGA SCAN, Alexandria).

The space group is P4/mmm (No. 123) and the conventional cell measures 4.8376, 4.8376 and 4.4969 Å, with angles of 90.00, 90.00 and 90.00 degrees. The distinct sites, in fractional coordinates, are Zn at (0.0000, 0.0000, 0.0000), Cd at (0.0000, 0.5000, 0.5000), Bi at (0.5000, 0.5000, 0.0000) and F at (0.0000, 0.0000, 0.5000).

The value obtained for the density is 8.18 g/cm³. The value obtained for the energy relative to the elements, uncorrected is -0.31 eV/atom. The value obtained for the total magnetization is 0.000 μB per atom. As for the volume: 21.0 Å³/atom.

7.
# CdFe2Bi

A PBEsol-optimized structure of CdFe2Bi (meta-GGA SCAN, Alexandria).

The space group is Fm-3m (No. 225) and the conventional cell measures 6.4075, 6.4075 and 6.4075 Å, with angles of 90.00, 90.00 and 90.00 degrees. The distinct sites, in fractional coordinates, are Cd at (0.0000, 0.0000, 0.0000), Fe at (0.2500, 0.2500, 0.2500) and Bi at (0.0000, 0.0000, 0.5000).

The value obtained for the density is 10.93 g/cm³. The value obtained for the total magnetization is 1.219 μB per atom. As for the volume: 16.4 Å³/atom. The formation energy comes out at 0.658 eV per atom.

8.
# CdGa2Bi2

A PBEsol-optimized structure of CdGa2Bi2 (meta-GGA SCAN, Alexandria).

The space group is I4/mmm (No. 139) and the conventional cell measures 4.0767, 4.0767 and 15.3993 Å, with angles of 90.00, 90.00 and 90.00 degrees. The distinct sites, in fractional coordinates, are Cd at (0.0000, 0.0000, 0.0000), Ga at (0.0000, 0.5000, 0.2500) and Bi at (0.0000, 0.0000, 0.3884).

The value obtained for the density is 8.69 g/cm³. The value obtained for the total magnetization is 0.000 μB per atom. As for the volume: 25.6 Å³/atom. The formation energy comes out at 0.171 eV per atom.

9.
# CdGe3Bi

A PBEsol-optimized structure of CdGe3Bi (meta-GGA SCAN, Alexandria).

The space group is Pm-3m (No. 221) and the conventional cell measures 5.0795, 5.0795 and 5.0795 Å, with angles of 90.00, 90.00 and 90.00 degrees. The distinct sites, in fractional coordinates, are Cd at (0.0000, 0.0000, 0.0000), Ge at (0.0000, 0.0000, 0.5000) and Bi at (0.5000, 0.5000, 0.5000).

The value obtained for the density is 6.83 g/cm³. The value obtained for the total magnetization is 0.000 μB per atom. As for the volume: 26.2 Å³/atom. The formation energy comes out at 0.804 eV per atom.

10.
# CdGeBiP2

A PBEsol-optimized structure of CdGeBiP2 (meta-GGA SCAN, Alexandria).

The space group is P4/mmm (No. 123) and the conventional cell measures 4.7696, 4.7696 and 4.9806 Å, with angles of 90.00, 90.00 and 90.00 degrees. The distinct sites, in fractional coordinates, are Cd at (0.0000, 0.0000, 0.0000), Ge at (0.0000, 0.0000, 0.5000), Bi at (0.5000, 0.5000, 0.0000) and P at (0.0000, 0.5000, 0.5000).

The value obtained for the density is 6.68 g/cm³. The value obtained for the total magnetization is 0.000 μB per atom. As for the volume: 22.7 Å³/atom. The formation energy comes out at 0.730 eV per atom.

11.
# CdReGeBi2

A PBEsol-optimized structure of CdReGeBi2 (meta-GGA SCAN, Alexandria).

The space group is P4/mmm (No. 123) and the conventional cell measures 5.4168, 5.4168 and 4.6317 Å, with angles of 90.00, 90.00 and 90.00 degrees. The distinct sites, in fractional coordinates, are Cd at (0.0000, 0.0000, 0.0000), Re at (0.5000, 0.5000, 0.0000), Ge at (0.5000, 0.5000, 0.5000) and Bi at (0.0000, 0.5000, 0.5000).

The value obtained for the density is 9.64 g/cm³. The value obtained for the total magnetization is 0.181 μB per atom. As for the volume: 27.2 Å³/atom. The formation energy comes out at 1.265 eV per atom.

12.
# LaHfCdBi2

A PBEsol-optimized structure of LaHfCdBi2 (meta-GGA SCAN, Alexandria).

The space group is P4/mmm (No. 123) and the conventional cell measures 5.5270, 5.5270 and 5.7035 Å, with angles of 90.00, 90.00 and 90.00 degrees. The distinct sites, in fractional coordinates, are La at (0.0000, 0.0000, 0.0000), Hf at (0.0000, 0.0000, 0.5000), Cd at (0.5000, 0.5000, 0.0000) and Bi at (0.0000, 0.5000, 0.5000).

The value obtained for the density is 8.08 g/cm³. The value obtained for the total magnetization is 0.000 μB per atom. As for the volume: 34.8 Å³/atom. The formation energy comes out at 0.208 eV per atom.